## TaSiGe2S (PBE-GGA)

Data for a geometry-optimized TaSiGe2S structure.

V: 19.47 Å³ per atom
Formation energy (no corrections): 1.01 eV per atom
SG: P4/mmm (123)

abc: 4.687 4.687 4.431
angles: 90.00 90.00 90.00
Atoms (fractional coordinates):
Ta  0.000  0.000  0.000
Si  0.500  0.500  0.500
Ge  0.000  0.500  0.500
Ge  0.500  0.000  0.500
S  0.500  0.500  0.000